The following is a GGA-PBEsol calculation of a geometry-optimized BeAlTl2 structure, from Alexandria.

Structure (CIF):
```
data_BeAlTl2
_chemical_formula_sum 'Be2 Al2 Tl4'
_symmetry_space_group_name_H-M 'I 4/m m m'
_symmetry_Int_Tables_number 139
_symmetry_space_group_name_Hall '-I 4 2'
_cell_length_a 4.560
_cell_length_b 4.560
_cell_length_c 7.961
_cell_angle_alpha 90.00
_cell_angle_beta 90.00
_cell_angle_gamma 90.00
loop_
_atom_site_label
_atom_site_type_symbol
_atom_site_fract_x
_atom_site_fract_y
_atom_site_fract_z
_atom_site_occupancy
Be1 Be 0.000 0.000 0.000 1
Al1 Al 0.000 0.000 0.500 1
Tl1 Tl 0.000 0.500 0.250 1
```

Energy of formation = 575 meV per atom